Material: RbTl2Se2
Method: DFT, PBE
State: relaxed

abc: 8.189 8.189 7.221
angles: 105.07 105.07 122.09
Element x y z (fractional)
1 Rb 0.229 0.771 0.000
2 Rb 0.771 0.229 0.000
3 Tl 0.263 0.263 0.718
4 Tl 0.373 0.627 0.500
5 Tl 0.627 0.373 0.500
6 Tl 0.737 0.737 0.282
7 Se 0.167 0.833 0.500
8 Se 0.180 0.180 0.080
9 Se 0.820 0.820 0.920
10 Se 0.833 0.167 0.500

Calculated values
Space group   No. 12
Mass density   6.260 g cm⁻³
Energy   -0.22419 Ry per atom